# PrFeOs | OQMD via LeMat-Bulk | PBE-GGA | relaxed
# * space-group type: No. 216
# * ΔE to the lowest computed polymorph: 0.8395 eV/atom
data_PrFeOs
_space_group_name_H-M_alt 'P 1'
_space_group_IT_number 1
_cell_length_a 4.588
_cell_length_b 4.588
_cell_length_c 4.588
_cell_angle_alpha 60.00
_cell_angle_beta 60.00
_cell_angle_gamma 60.00
loop_
_space_group_symop_operation_xyz
'x,y,z'
loop_
_atom_site_label
_atom_site_fract_x
_atom_site_fract_y
_atom_site_fract_z
Os1 0.750 0.750 0.750
Pr1 0.000 0.000 0.000
Fe1 0.250 0.250 0.250



# ZrGeIr2 | OQMD via LeMat-Bulk | PBE-GGA | relaxed
# * total DFT energy (no corrections): -7.915 eV/atom
# * space-group type: No. 216
data_ZrGeIr2
_space_group_name_H-M_alt 'P 1'
_space_group_IT_number 1
_cell_length_a 4.540
_cell_length_b 4.540
_cell_length_c 4.540
_cell_angle_alpha 60.00
_cell_angle_beta 60.00
_cell_angle_gamma 60.00
loop_
_space_group_symop_operation_xyz
'x,y,z'
loop_
_atom_site_label
_atom_site_fract_x
_atom_site_fract_y
_atom_site_fract_z
Ir1 0.750 0.750 0.750
Ir2 0.000 0.000 0.000
Ge1 0.500 0.500 0.500
Zr1 0.250 0.250 0.250



# LaDyCu2P4 | OQMD via LeMat-Bulk | PBE-GGA | relaxed
# * total DFT energy (no corrections): -5.693 eV/atom
# * space-group type: No. 99
data_LaDyCu2P4
_space_group_name_H-M_alt 'P 1'
_space_group_IT_number 1
_cell_length_a 3.776
_cell_length_b 3.776
_cell_length_c 9.972
_cell_angle_alpha 90.00
_cell_angle_beta 90.00
_cell_angle_gamma 90.00
loop_
_space_group_symop_operation_xyz
'x,y,z'
loop_
_atom_site_label
_atom_site_fract_x
_atom_site_fract_y
_atom_site_fract_z
P1 0.000 0.000 0.361
P2 0.000 0.500 0.988
P3 0.500 0.500 0.656
P4 0.500 0.000 0.988
Cu1 0.000 0.500 0.507
Cu2 0.500 0.000 0.507
Dy1 0.000 0.000 0.764
La1 0.500 0.500 0.230



# PW2N | OQMD via LeMat-Bulk | PBE-GGA | relaxed
# * space-group type: No. 15
# * ΔE to the lowest computed polymorph: 0.0000 eV/atom
data_PW2N
_space_group_name_H-M_alt 'P 1'
_space_group_IT_number 1
_cell_length_a 5.290
_cell_length_b 5.290
_cell_length_c 12.713
_cell_angle_alpha 103.34
_cell_angle_beta 103.34
_cell_angle_gamma 59.95
loop_
_space_group_symop_operation_xyz
'x,y,z'
loop_
_atom_site_label
_atom_site_fract_x
_atom_site_fract_y
_atom_site_fract_z
W1 0.310 0.118 0.907
W2 0.938 0.806 0.897
W3 0.639 0.466 0.874
W4 0.062 0.194 0.103
W5 0.534 0.361 0.626
W6 0.118 0.310 0.407
W7 0.806 0.938 0.397
W8 0.690 0.882 0.093
W9 0.466 0.639 0.374
W10 0.194 0.062 0.603
W11 0.361 0.534 0.126
W12 0.882 0.690 0.593
P1 0.419 0.224 0.256
P2 0.949 0.051 0.750
P3 0.051 0.949 0.250
P4 0.224 0.419 0.756
P5 0.776 0.581 0.244
P6 0.581 0.776 0.744
N1 0.222 0.652 0.499
N2 0.500 0.000 0.500
N3 0.652 0.222 0.999
N4 0.348 0.778 0.001
N5 0.778 0.348 0.501
N6 0.000 0.500 0.000



# SiOsNO | OQMD via LeMat-Bulk | PBE-GGA | relaxed
# * space-group type: No. 26
# * ΔE to the lowest computed polymorph: 0.4116 eV/atom
data_SiOsNO
_space_group_name_H-M_alt 'P 1'
_space_group_IT_number 1
_cell_length_a 2.860
_cell_length_b 5.163
_cell_length_c 5.724
_cell_angle_alpha 90.00
_cell_angle_beta 90.00
_cell_angle_gamma 90.00
loop_
_space_group_symop_operation_xyz
'x,y,z'
loop_
_atom_site_label
_atom_site_fract_x
_atom_site_fract_y
_atom_site_fract_z
Os1 0.500 0.914 0.059
Os2 0.500 0.414 0.941
N1 0.000 0.892 0.331
N2 0.000 0.392 0.669
Si1 0.000 0.052 0.619
Si2 0.000 0.552 0.381
O1 0.500 0.395 0.313
O2 0.500 0.895 0.687



# LuSn2Au | OQMD via LeMat-Bulk | PBE-GGA | relaxed
# * space-group type: No. 216
# * ΔE to the lowest computed polymorph: 1.6259 eV/atom
data_LuSn2Au
_space_group_name_H-M_alt 'P 1'
_space_group_IT_number 1
_cell_length_a 4.431
_cell_length_b 4.431
_cell_length_c 4.431
_cell_angle_alpha 60.00
_cell_angle_beta 60.00
_cell_angle_gamma 60.00
loop_
_space_group_symop_operation_xyz
'x,y,z'
loop_
_atom_site_label
_atom_site_fract_x
_atom_site_fract_y
_atom_site_fract_z
Au1 0.500 0.500 0.500
Sn1 0.000 0.000 0.000
Sn2 0.250 0.250 0.250
Lu1 0.750 0.750 0.750



Number 3 is which compound?
LaDyCu2P4